10
Lattice="6.946 0.000 0.000 0.000 6.946 0.000 0.000 0.000 4.525" Properties=species:S:1:pos:R:3 comment="GGA-PBE Hg4Mo, relaxed" de_polymorph_mev_per_atom=0 space_group="I4/m (87)" density_g_cm3=13.66 total_energy_ev_per_cell=-18.1 pbc="T T T"
Hg 0.744 2.046 0.000
Hg 1.427 4.217 2.262
Hg 2.046 6.202 0.000
Hg 2.729 1.427 2.262
Hg 4.217 5.519 2.262
Hg 4.900 0.744 0.000
Hg 5.519 2.729 2.262
Hg 6.202 4.900 0.000
Mo 0.000 0.000 2.262
Mo 3.473 3.473 0.000